TaBiRu3 | PBE | optimized geometry

abc: 4.804 4.804 4.804
angles: 90.00 90.00 90.00
Positions (direct):
1 Ta 0.000 0.000 0.000
2 Bi 0.500 0.500 0.500
3 Ru 0.000 0.500 0.500
4 Ru 0.500 0.000 0.500
5 Ru 0.500 0.500 0.000

Calculated values
Relative energy among the computed polymorphs: 914 meV per atom
Energy: -6.566 eV/atom